# 1
Density functional theory data (GGA-PBEsol) for crystalline MnSbBr2 at its relaxed geometry.

The spin magnetization comes out at 10.8 Bohr magnetons per cell. The calculation puts the energy above the lowest structure with this stoichiometry at 0.180 eV/atom. The calculation puts the formation energy without anion corrections at 3.4 kJ per mole of atoms. The raw total energy comes out at -4.480 eV per atom. As for the crystal system: tetragonal. The calculation puts the volume at 437 Å³/cell.

The structure belongs to space group I-42d (No. 122); the cell edges are 9.186, 9.186 and 5.177 Å and the angles 90.00°, 90.00° and 90.00°. The inequivalent atoms are Mn at (0.000, 0.000, 0.000), Sb at (0.000, 0.000, 0.500) and Br at (0.104, 0.750, 0.125).

# 2
Density functional theory data (GGA-PBEsol) for crystalline MnSbBr2 at its relaxed geometry.

The spin magnetization comes out at 8.0 Bohr magnetons per cell. The calculation puts the energy above the lowest structure with this stoichiometry at 0.000 eV/atom. The calculation puts the formation energy without anion corrections at -14.0 kJ per mole of atoms. The raw total energy comes out at -4.660 eV per atom. As for the crystal system: orthorhombic. The calculation puts the volume at 236 Å³/cell.

The structure belongs to space group Imm2 (No. 44); the cell edges are 3.475, 5.346 and 12.677 Å and the angles 90.00°, 90.00° and 90.00°. The inequivalent atoms are Mn at (0.000, 0.000, 0.000), Sb at (0.000, 0.500, 0.664), Br at (0.000, 0.000, 0.587) and Br at (0.000, 0.500, 0.362).

# 3
Density functional theory data (GGA-PBEsol) for crystalline MnSbBr at its relaxed geometry.

The spin magnetization comes out at 14.9 Bohr magnetons per cell. The calculation puts the formation energy without anion corrections at 2.2 kJ per mole of atoms. The raw total energy comes out at -5.374 eV per atom. As for the crystal system: orthorhombic. The calculation puts the volume at 288 Å³/cell.

The structure belongs to space group Fmm2 (No. 42); the cell edges are 3.664, 5.570 and 14.121 Å and the angles 90.00°, 90.00° and 90.00°. The inequivalent atoms are Mn at (0.000, 0.000, 0.000), Sb at (0.000, 0.000, 0.639) and Br at (0.000, 0.000, 0.379).

# 4
Density functional theory data (GGA-PBEsol) for crystalline MnSbBr4 at its relaxed geometry.

The spin magnetization comes out at 19.1 Bohr magnetons per cell. The calculation puts the formation energy without anion corrections at 78.9 kJ per mole of atoms. The raw total energy comes out at -2.815 eV per atom. As for the crystal system: cubic. The calculation puts the volume at 627 Å³/cell.

The structure belongs to space group F-43m (No. 216); the cell edges are 8.561, 8.561 and 8.561 Å and the angles 90.00°, 90.00° and 90.00°. The inequivalent atoms are Mn at (0.000, 0.000, 0.000), Sb at (0.250, 0.250, 0.250) and Br at (0.125, 0.125, 0.625).

# 5
Density functional theory data (GGA-PBEsol) for crystalline MnSbBr2 at its relaxed geometry.

The spin magnetization comes out at 8.8 Bohr magnetons per cell. The calculation puts the energy above the lowest structure with this stoichiometry at 0.062 eV/atom. The calculation puts the formation energy without anion corrections at -8.1 kJ per mole of atoms. The raw total energy comes out at -4.598 eV per atom. As for the crystal system: monoclinic. The calculation puts the volume at 215 Å³/cell.

The structure belongs to space group C2/m (No. 12); the cell edges are 12.458, 3.416 and 5.172 Å and the angles 90.00°, 102.59° and 90.00°. The inequivalent atoms are Mn at (0.000, 0.000, 0.000), Sb at (0.000, 0.500, 0.500) and Br at (0.161, 0.500, 0.195).

# 6
Density functional theory data (GGA-PBEsol) for crystalline ScMnBr2 at its relaxed geometry.

The spin magnetization comes out at 7.7 Bohr magnetons per cell. The calculation puts the energy above the lowest structure with this stoichiometry at 0.030 eV/atom. The calculation puts the formation energy without anion corrections at -34.7 kJ per mole of atoms. The raw total energy comes out at -5.386 eV per atom. As for the crystal system: orthorhombic. The calculation puts the volume at 182 Å³/cell.

The structure belongs to space group Imm2 (No. 44); the cell edges are 3.292, 4.567 and 12.126 Å and the angles 90.00°, 90.00° and 90.00°. The inequivalent atoms are Sc at (0.000, 0.000, 0.000), Mn at (0.000, 0.500, 0.306), Br at (0.000, 0.000, 0.454) and Br at (0.000, 0.500, 0.681).

# 7
Density functional theory data (GGA-PBEsol) for crystalline ScMn2Br at its relaxed geometry.

The spin magnetization comes out at 12.2 Bohr magnetons per cell. The calculation puts the energy above the lowest structure with this stoichiometry at 0.073 eV/atom. The calculation puts the formation energy without anion corrections at 33.1 kJ per mole of atoms. The raw total energy comes out at -6.656 eV per atom. As for the crystal system: monoclinic. The calculation puts the volume at 136 Å³/cell.

The structure belongs to space group C2/m (No. 12); the cell edges are 5.432, 9.716 and 3.090 Å and the angles 90.00°, 123.66° and 90.00°. The inequivalent atoms are Sc at (0.000, 0.000, 0.000), Mn at (0.250, 0.250, 0.500) and Br at (0.000, 0.500, 0.000).

# 8
Density functional theory data (GGA-PBEsol) for crystalline ScMn3Br at its relaxed geometry.

The spin magnetization comes out at 10.2 Bohr magnetons per cell. The calculation puts the formation energy without anion corrections at 147.5 kJ per mole of atoms. The raw total energy comes out at -6.023 eV per atom. As for the crystal system: cubic. The calculation puts the volume at 108 Å³/cell.

The structure belongs to space group Pm-3m (No. 221); the cell edges are 4.761, 4.761 and 4.761 Å and the angles 90.00°, 90.00° and 90.00°. The inequivalent atoms are Sc at (0.000, 0.000, 0.000), Mn at (0.000, 0.000, 0.500) and Br at (0.500, 0.500, 0.500).

# 9
Density functional theory data (GGA-PBEsol) for crystalline Sc2MnBr at its relaxed geometry.

The spin magnetization comes out at 0.0 Bohr magnetons per cell. The calculation puts the energy above the lowest structure with this stoichiometry at 0.000 eV/atom. The calculation puts the formation energy without anion corrections at -10.9 kJ per mole of atoms. The raw total energy comes out at -6.324 eV per atom. As for the crystal system: trigonal. The calculation puts the volume at 254 Å³/cell.

The structure belongs to space group R-3m (No. 166, hexagonal axes); the cell edges are 3.3864, 3.3864 and 25.5950 Å and the angles 90.00°, 90.00° and 120.00°. The inequivalent atoms are Sc at (0.0000, 0.0000, 0.1017), Mn at (0.0000, 0.0000, 0.5000) and Br at (0.0000, 0.0000, 0.0000).

# 10
Density functional theory data (GGA-PBEsol) for crystalline Sc2MnBr at its relaxed geometry.

The spin magnetization comes out at 2.2 Bohr magnetons per cell. The calculation puts the energy above the lowest structure with this stoichiometry at 0.010 eV/atom. The calculation puts the formation energy without anion corrections at -10.0 kJ per mole of atoms. The raw total energy comes out at -6.314 eV per atom. As for the crystal system: orthorhombic. The calculation puts the volume at 77 Å³/cell.

The structure belongs to space group Pmmm (No. 47); the cell edges are 3.156, 4.637 and 5.285 Å and the angles 90.00°, 90.00° and 90.00°. The inequivalent atoms are Sc at (0.000, 0.000, 0.000), Sc at (0.500, 0.500, 0.500), Mn at (0.000, 0.000, 0.500) and Br at (0.500, 0.500, 0.000).

# 11
Density functional theory data (GGA-PBEsol) for crystalline ScMn2Br at its relaxed geometry.

The spin magnetization comes out at 6.5 Bohr magnetons per cell. The calculation puts the energy above the lowest structure with this stoichiometry at 0.036 eV/atom. The calculation puts the formation energy without anion corrections at 29.5 kJ per mole of atoms. The raw total energy comes out at -6.693 eV per atom. As for the crystal system: orthorhombic. The calculation puts the volume at 68 Å³/cell.

The structure belongs to space group Pmmm (No. 47); the cell edges are 3.148, 4.484 and 4.783 Å and the angles 90.00°, 90.00° and 90.00°. The inequivalent atoms are Sc at (0.000, 0.000, 0.000), Mn at (0.000, 0.500, 0.500), Mn at (0.500, 0.000, 0.500) and Br at (0.500, 0.500, 0.000).

# 12
Density functional theory data (GGA-PBEsol) for crystalline ScMnBr2 at its relaxed geometry.

The spin magnetization comes out at 13.9 Bohr magnetons per cell. The calculation puts the energy above the lowest structure with this stoichiometry at 0.000 eV/atom. The calculation puts the formation energy without anion corrections at -37.6 kJ per mole of atoms. The raw total energy comes out at -5.416 eV per atom. As for the crystal system: trigonal. The calculation puts the volume at 288 Å³/cell.

The structure belongs to space group R-3m (No. 166, hexagonal axes); the cell edges are 3.4175, 3.4175 and 28.5152 Å and the angles 90.00°, 90.00° and 120.00°. The inequivalent atoms are Sc at (0.0000, 0.0000, 0.0000), Mn at (0.0000, 0.0000, 0.5000) and Br at (0.0000, 0.0000, 0.2698).

# 13
Density functional theory data (GGA-PBEsol) for crystalline ScMn2Br at its relaxed geometry.

The spin magnetization comes out at 6.1 Bohr magnetons per cell. The calculation puts the energy above the lowest structure with this stoichiometry at 0.000 eV/atom. The calculation puts the formation energy without anion corrections at 26.1 kJ per mole of atoms. The raw total energy comes out at -6.729 eV per atom. As for the crystal system: tetragonal. The calculation puts the volume at 67 Å³/cell.

The structure belongs to space group P4/mmm (No. 123); the cell edges are 3.457, 3.457 and 5.598 Å and the angles 90.00°, 90.00° and 90.00°. The inequivalent atoms are Sc at (0.000, 0.000, 0.000), Mn at (0.500, 0.500, 0.237) and Br at (0.000, 0.000, 0.500).

# 14
Density functional theory data (GGA-PBEsol) for crystalline Sc2MnBr at its relaxed geometry.

The spin magnetization comes out at 12.7 Bohr magnetons per cell. The calculation puts the energy above the lowest structure with this stoichiometry at 0.007 eV/atom. The calculation puts the formation energy without anion corrections at -10.3 kJ per mole of atoms. The raw total energy comes out at -6.317 eV per atom. As for the crystal system: trigonal. The calculation puts the volume at 254 Å³/cell.

The structure belongs to space group R3m (No. 160, hexagonal axes); the cell edges are 3.2879, 3.2879 and 27.0826 Å and the angles 90.00°, 90.00° and 120.00°. The inequivalent atoms are Sc at (0.0000, 0.0000, 0.0000), Sc at (0.0000, 0.0000, 0.2376), Mn at (0.0000, 0.0000, 0.4927) and Br at (0.0000, 0.0000, 0.7396).

# 15
Density functional theory data (GGA-PBEsol) for crystalline Mn2SeBr at its relaxed geometry.

The spin magnetization comes out at 8.7 Bohr magnetons per cell. The calculation puts the energy above the lowest structure with this stoichiometry at 0.286 eV/atom. The calculation puts the formation energy without anion corrections at 21.9 kJ per mole of atoms. The raw total energy comes out at -6.084 eV per atom. As for the crystal system: orthorhombic. The calculation puts the volume at 79 Å³/cell.

The structure belongs to space group Pmmm (No. 47); the cell edges are 3.583, 3.694 and 5.970 Å and the angles 90.00°, 90.00° and 90.00°. The inequivalent atoms are Mn at (0.000, 0.000, 0.000), Mn at (0.000, 0.500, 0.500), Se at (0.500, 0.000, 0.500) and Br at (0.500, 0.500, 0.000).